DFT (GGA-PBE) results for a geometry-optimized SmEuZnRu structure.

Structure (CIF):
```
data_SmEuZnRu
_chemical_formula_sum 'Sm4 Eu4 Zn4 Ru4'
_symmetry_space_group_name_H-M 'F -4 3 m'
_symmetry_Int_Tables_number 216
_symmetry_space_group_name_Hall 'F -4 2 3'
_cell_length_a 7.1154
_cell_length_b 7.1154
_cell_length_c 7.1154
_cell_angle_alpha 90.00
_cell_angle_beta 90.00
_cell_angle_gamma 90.00
loop_
_atom_site_label
_atom_site_fract_x
_atom_site_fract_y
_atom_site_fract_z
_atom_site_occupancy
Sm1 0.0000 0.0000 0.0000 1
Eu1 0.0000 0.0000 0.5000 1
Zn1 0.2500 0.2500 0.2500 1
Ru1 0.2500 0.2500 0.7500 1
```

The calculation puts the formation energy from the elements at -50 kJ/mol of formula units. Its crystal system is cubic.

=====

DFT (GGA-PBE) results for a geometry-optimized Tb4Pr3Nd5 structure.

Structure (CIF):
```
data_Tb4Pr3Nd5
_chemical_formula_sum 'Tb4 Pr3 Nd5'
_symmetry_space_group_name_H-M 'P -1'
_symmetry_Int_Tables_number 2
_symmetry_space_group_name_Hall '-P 1'
_cell_length_a 6.3270
_cell_length_b 7.2899
_cell_length_c 8.9421
_cell_angle_alpha 90.08
_cell_angle_beta 90.04
_cell_angle_gamma 90.01
loop_
_atom_site_label
_atom_site_fract_x
_atom_site_fract_y
_atom_site_fract_z
_atom_site_occupancy
Tb1 0.1660 0.4995 0.1649 1
Tb2 0.3322 0.7476 0.8347 1
Pr1 0.3339 0.2525 0.8355 1
Pr2 0.5000 0.0000 0.5000 1
Nd1 0.0013 0.7477 0.5004 1
Nd2 0.1667 0.0000 0.1652 1
Nd3 0.5000 0.5000 0.5000 1
```

The calculation puts the formation energy from the elements at 16 kJ/mol of formula units. Its crystal system is triclinic. For the polymorph energy (0 for the lowest one), the calculation gives 0.00 eV per formula unit.

=====

DFT (GGA-PBE) results for a geometry-optimized BeTlNO2 structure.

Structure (CIF):
```
data_BeTlNO2
_chemical_formula_sum 'Be1 Tl1 N1 O2'
_symmetry_space_group_name_H-M 'P 4/m m m'
_symmetry_Int_Tables_number 123
_symmetry_space_group_name_Hall '-P 4 2'
_cell_length_a 4.2241
_cell_length_b 4.2241
_cell_length_c 4.2394
_cell_angle_alpha 90.00
_cell_angle_beta 90.00
_cell_angle_gamma 90.00
loop_
_atom_site_label
_atom_site_fract_x
_atom_site_fract_y
_atom_site_fract_z
_atom_site_occupancy
Be1 0.0000 0.0000 0.0000 1
Tl1 0.5000 0.5000 0.5000 1
N1 0.5000 0.5000 0.0000 1
O1 0.0000 0.5000 0.5000 1
```

The uncorrected formation energy is 1.3584 eV per atom. Its crystal system is tetragonal.